(1)
Below is crystalline SrH3Pt at its relaxed geometry, with properties calculated at the PBE-GGA level.

## Properties
DOS(E_F) ... 1.26 states/eV per cell
SG ... No. 62
Theoretical density ... 7.2 g/cm³

Unit cell a=5.1960 b=7.8011 c=6.5160 alpha=90.00 beta=90.00 gamma=90.00
With the nearest neighbours (Å) after each atom.
Atoms (fractional coordinates):
Sr: 0.0000 0.0000 0.0000  6 H 2.61-2.75
Sr: 0.0000 0.5000 0.0000  6 H 2.61-2.75
Sr: 0.5000 0.0000 0.5000  6 H 2.61-2.75
Sr: 0.5000 0.5000 0.5000  6 H 2.61-2.75
H: 0.0243 0.0978 0.3821  1 Pt 1.65
H: 0.0243 0.4022 0.3821  1 Pt 1.65
H: 0.2317 0.7500 0.2333  2 Pt 1.78-1.86
H: 0.2683 0.2500 0.7333  2 Pt 1.78-1.86
H: 0.4757 0.5978 0.8821  1 Pt 1.65
H: 0.4757 0.9022 0.8821  1 Pt 1.65
H: 0.5243 0.0978 0.1179  1 Pt 1.65
H: 0.5243 0.4022 0.1179  1 Pt 1.65
H: 0.7317 0.7500 0.2667  2 Pt 1.78-1.86
H: 0.7683 0.2500 0.7667  2 Pt 1.78-1.86
H: 0.9757 0.5978 0.6179  1 Pt 1.65
H: 0.9757 0.9022 0.6179  1 Pt 1.65
Pt: 0.0130 0.7500 0.4444  3 H 1.65-1.78
Pt: 0.4870 0.2500 0.9444  3 H 1.65-1.78
Pt: 0.5130 0.7500 0.0556  3 H 1.65-1.78
Pt: 0.9870 0.2500 0.5556  3 H 1.65-1.78

---

(2)
Below is crystalline SrLaPrEr at its relaxed geometry, with properties calculated at the PBE-GGA level.

## Properties
DOS(E_F) ... 23.67 states/eV per cell
SG ... No. 216
Formation energy from the elements ... 0.193 eV per atom
Theoretical density ... 5.8 g/cm³

Unit cell a=8.4863 b=8.4863 c=8.4863 alpha=90.00 beta=90.00 gamma=90.00
With the nearest neighbours (Å) after each atom.
Atoms (fractional coordinates):
Sr: 0.0000 0.0000 0.0000  4 La 3.67, 4 Pr 3.67
Sr: 0.0000 0.5000 0.5000  4 La 3.67, 4 Pr 3.67
Sr: 0.5000 0.0000 0.5000  4 La 3.67, 4 Pr 3.67
Sr: 0.5000 0.5000 0.0000  4 La 3.67, 4 Pr 3.67
La: 0.2500 0.2500 0.2500  4 Er 3.67, 4 Sr 3.67
La: 0.2500 0.7500 0.7500  4 Er 3.67, 4 Sr 3.67
La: 0.7500 0.2500 0.7500  4 Er 3.67, 4 Sr 3.67
La: 0.7500 0.7500 0.2500  4 Er 3.67, 4 Sr 3.67
Pr: 0.2500 0.2500 0.7500  4 Sr 3.67, 4 Er 3.67
Pr: 0.2500 0.7500 0.2500  4 Sr 3.67, 4 Er 3.67
Pr: 0.7500 0.2500 0.2500  4 Sr 3.67, 4 Er 3.67
Pr: 0.7500 0.7500 0.7500  4 Sr 3.67, 4 Er 3.67
Er: 0.0000 0.0000 0.5000  4 La 3.67, 4 Pr 3.67
Er: 0.0000 0.5000 0.0000  4 La 3.67, 4 Pr 3.67
Er: 0.5000 0.0000 0.0000  4 La 3.67, 4 Pr 3.67
Er: 0.5000 0.5000 0.5000  4 La 3.67, 4 Pr 3.67

---

(3)
Below is crystalline YFe2Tc at its relaxed geometry, with properties calculated at the PBE-GGA level.

## Properties
DOS(E_F) ... 11.01 states/eV per cell
SG ... No. 12
Formation energy from the elements ... 0.419 eV per atom
Theoretical density ... 7.9 g/cm³
Polymorph energy (0 for the lowest one) ... 0.3012 eV per atom

Unit cell a=5.5205 b=8.4433 c=2.8030 alpha=90.00 beta=105.58 gamma=90.00
With the nearest neighbours (Å) after each atom.
Atoms (fractional coordinates):
Y: 0.0000 0.0000 0.0000  4 Fe 2.70, 2 Tc 2.76, 2 Y 2.80
Y: 0.5000 0.5000 0.0000  4 Fe 2.70, 2 Tc 2.76, 2 Y 2.80
Fe: 0.2500 0.2500 0.5000  2 Tc 2.70, 2 Y 2.70, 4 Fe 2.76-2.80
Fe: 0.2500 0.7500 0.5000  2 Tc 2.70, 2 Y 2.70, 4 Fe 2.76-2.80
Fe: 0.7500 0.2500 0.5000  2 Tc 2.70, 2 Y 2.70, 4 Fe 2.76-2.80
Fe: 0.7500 0.7500 0.5000  2 Tc 2.70, 2 Y 2.70, 4 Fe 2.76-2.80
Tc: 0.0000 0.5000 0.0000  4 Fe 2.70, 2 Y 2.76, 2 Tc 2.80
Tc: 0.5000 0.0000 0.0000  4 Fe 2.70, 2 Y 2.76, 2 Tc 2.80

---

(4)
Below is crystalline Sm2As4Au at its relaxed geometry, with properties calculated at the PBE-GGA level.

## Properties
DOS(E_F) ... 4.33 states/eV per cell
SG ... No. 115
Formation energy from the elements ... -0.821 eV per atom
Theoretical density ... 8.2 g/cm³

Unit cell a=4.0578 b=4.0578 c=9.7960 alpha=90.00 beta=90.00 gamma=90.00
With the nearest neighbours (Å) after each atom.
Atoms (fractional coordinates):
Sm: 0.0000 0.5000 0.2409  8 As 3.01-3.11, 2 Au 3.25
Sm: 0.5000 0.0000 0.7591  8 As 3.01-3.11, 2 Au 3.25
As: 0.0000 0.0000 0.0000  4 As 2.87, 4 Sm 3.11
As: 0.0000 0.5000 0.6650  2 Au 2.59
As: 0.5000 0.0000 0.3350  2 Au 2.59
As: 0.5000 0.5000 0.0000  4 As 2.87, 4 Sm 3.11
Au: 0.0000 0.0000 0.5000  4 As 2.59

---

(5)
Below is crystalline NdSm5Bi6 at its relaxed geometry, with properties calculated at the PBE-GGA level.

## Properties
DOS(E_F) ... 2.04 states/eV per cell
SG ... No. 12
Formation energy from the elements ... -0.930 eV per atom
Theoretical density ... 8.8 g/cm³

Unit cell a=7.9116 b=7.9116 c=7.9109 alpha=99.60 beta=99.60 gamma=120.01
With the nearest neighbours (Å) after each atom.
Atoms (fractional coordinates):
Nd: 0.0000 0.0000 0.0000  6 Bi 3.24-3.25
Sm: 0.1658 0.8342 0.5000  6 Bi 3.22-3.23
Sm: 0.3330 0.6670 0.0000  6 Bi 3.23
Sm: 0.5000 0.5000 0.5000  6 Bi 3.22-3.23
Sm: 0.6670 0.3330 0.0000  6 Bi 3.23
Sm: 0.8342 0.1658 0.5000  6 Bi 3.22-3.23
Bi: 0.0840 0.4191 0.2514  5 Sm 3.22-3.23, 1 Nd 3.25
Bi: 0.2518 0.2518 0.7495  5 Sm 3.22-3.23, 1 Nd 3.24
Bi: 0.4191 0.0840 0.2514  5 Sm 3.22-3.23, 1 Nd 3.25
Bi: 0.5809 0.9160 0.7486  5 Sm 3.22-3.23, 1 Nd 3.25
Bi: 0.7482 0.7482 0.2505  5 Sm 3.22-3.23, 1 Nd 3.24
Bi: 0.9160 0.5809 0.7486  5 Sm 3.22-3.23, 1 Nd 3.25

---

(6)
Below is crystalline YMgCu at its relaxed geometry, with properties calculated at the PBE-GGA level.

## Properties
DOS(E_F) ... 8.59 states/eV per cell
SG ... No. 189
Formation energy from the elements ... 0.219 eV per atom
Theoretical density ... 4.5 g/cm³
Polymorph energy (0 for the lowest one) ... 0.4384 eV per atom

Unit cell a=8.5837 b=8.5837 c=3.0329 alpha=90.00 beta=90.00 gamma=120.00
With the nearest neighbours (Å) after each atom.
Atoms (fractional coordinates):
Y: 0.0000 0.0000 0.0000  2 Y 3.03, 3 Cu 3.09, 6 Mg 3.10
Y: 0.3333 0.6667 0.5000  3 Mg 2.94, 2 Y 3.03, 6 Cu 3.15
Y: 0.6667 0.3333 0.5000  3 Mg 2.94, 2 Y 3.03, 6 Cu 3.15
Mg: 0.0000 0.3149 0.5000  4 Y 2.94-3.10, 2 Mg 3.03, 6 Cu 3.18-3.28
Mg: 0.3149 0.0000 0.5000  4 Y 2.94-3.10, 2 Mg 3.03, 6 Cu 3.18-3.28
Mg: 0.6851 0.6851 0.5000  4 Y 2.94-3.10, 2 Mg 3.03, 6 Cu 3.18-3.28
Cu: 0.0000 0.6405 0.0000  2 Cu 3.03, 5 Y 3.09-3.15, 6 Mg 3.18-3.28
Cu: 0.3595 0.3595 0.0000  2 Cu 3.03, 5 Y 3.09-3.15, 6 Mg 3.18-3.28
Cu: 0.6405 0.0000 0.0000  2 Cu 3.03, 5 Y 3.09-3.15, 6 Mg 3.18-3.28

---

| no. | raw total energy (eV for the cell shown) |
| --- | --- |
| 1 | -79.00 |
| 2 | -60.72 |
| 3 | -64.16 |
| 4 | -37.06 |
| 5 | -62.81 |
| 6 | -34.49 |